1.
This record from Alexandria describes a geometry-optimized MnCo2Ir structure. The functional is GGA-PBE. Values from VASP.

Energy above the most stable polymorph in this dataset ... 76 meV per atom
DFT total energy ... -8.04 eV/atom
Energy of formation ... 20 meV per atom

Structure (Quantum ESPRESSO input):
```
&SYSTEM
  ibrav = 0, nat = 4, ntyp = 3
/
ATOMIC_SPECIES
Co 58.93 Co.upf
Ir 192.22 Ir.upf
Mn 54.94 Mn.upf
CELL_PARAMETERS angstrom
3.5479 0.0000 0.0000
0.0000 2.6213 -0.0001
0.0000 2.6269 5.1306
ATOMIC_POSITIONS crystal
Co 0.0000 0.9916 0.0086
Co 0.5000 0.2711 0.2293
Ir 0.0000 0.4934 0.5064
Mn 0.5000 0.7439 0.7557
```



2.
This record from Alexandria describes a geometry-optimized MnCoMoIr structure. The functional is GGA-PBE. Values from VASP.

DFT total energy ... -8.96 eV/atom
Energy of formation ... 33 meV per atom

Structure (Quantum ESPRESSO input):
```
&SYSTEM
  ibrav = 0, nat = 4, ntyp = 4
/
ATOMIC_SPECIES
Mo 95.94 Mo.upf
Ir 192.22 Ir.upf
Co 58.93 Co.upf
Mn 54.94 Mn.upf
CELL_PARAMETERS angstrom
-0.1615 -4.0550 1.4341
1.3584 -0.9321 3.9764
-2.8402 -1.0950 3.0431
ATOMIC_POSITIONS crystal
Mo 0.0000 0.0000 0.0000
Ir 0.7500 0.7500 0.7500
Co 0.2500 0.2500 0.2500
Mn 0.5000 0.5000 0.5000
```



3.
This record from Alexandria describes a geometry-optimized MnCo2IrN structure. The functional is GGA-PBE. Values from VASP.

DFT total energy ... -8.10 eV/atom

Structure (Quantum ESPRESSO input):
```
&SYSTEM
  ibrav = 0, nat = 5, ntyp = 4
/
ATOMIC_SPECIES
Ir 192.22 Ir.upf
Co 58.93 Co.upf
Mn 54.94 Mn.upf
N 14.01 N.upf
CELL_PARAMETERS angstrom
-0.1341 -0.0357 -3.7703
-3.5820 -1.1767 0.1385
-1.2210 3.7178 0.0082
ATOMIC_POSITIONS crystal
Ir 0.5000 0.5000 0.5000
Co 0.0000 0.5000 0.0000
Co 0.5000 0.0000 0.0000
Mn 0.0000 0.0000 0.5000
N 0.0000 0.0000 0.0000
```



4.
This record from Alexandria describes a geometry-optimized MnCoIrN2 structure. The functional is GGA-PBE. Values from VASP.

DFT total energy ... -6.76 eV/atom

Structure (Quantum ESPRESSO input):
```
&SYSTEM
  ibrav = 0, nat = 5, ntyp = 4
/
ATOMIC_SPECIES
Ir 192.22 Ir.upf
Co 58.93 Co.upf
Mn 54.94 Mn.upf
N 14.01 N.upf
CELL_PARAMETERS angstrom
-0.8579 -2.1662 2.5747
-2.4148 -2.9692 -3.3026
2.9275 -1.7904 -0.5309
ATOMIC_POSITIONS crystal
Ir 0.5000 0.5000 0.5000
Co 0.0000 0.0000 0.0000
Mn 0.0000 0.5000 0.0000
N 0.0000 0.0000 0.5000
N 0.5000 0.0000 0.0000
```



5.
This record from Alexandria describes a geometry-optimized MnNbCoIr structure. The functional is GGA-PBE. Values from VASP.

DFT total energy ... -9.07 eV/atom
Energy of formation ... -264 meV per atom

Structure (Quantum ESPRESSO input):
```
&SYSTEM
  ibrav = 0, nat = 4, ntyp = 4
/
ATOMIC_SPECIES
Mn 54.94 Mn.upf
Nb 92.91 Nb.upf
Co 58.93 Co.upf
Ir 192.22 Ir.upf
CELL_PARAMETERS angstrom
3.7702 0.0000 0.0000
0.0000 3.8435 0.0000
0.0000 0.0000 3.7775
ATOMIC_POSITIONS crystal
Mn 0.5000 0.0000 0.5000
Nb 0.0000 0.5000 0.5000
Co 0.5000 0.5000 0.0000
Ir 0.0000 0.0000 0.0000
```



6.
This record from Alexandria describes a geometry-optimized NpMnCoIr structure. The functional is GGA-PBE. Values from VASP.

DFT total energy ... -9.52 eV/atom
Energy of formation ... -6 meV per atom

Structure (Quantum ESPRESSO input):
```
&SYSTEM
  ibrav = 0, nat = 4, ntyp = 4
/
ATOMIC_SPECIES
Np 237.00 Np.upf
Ir 192.22 Ir.upf
Co 58.93 Co.upf
Mn 54.94 Mn.upf
CELL_PARAMETERS angstrom
4.5140 0.0000 0.0000
2.2570 3.9092 0.0000
2.2570 1.3031 3.6857
ATOMIC_POSITIONS crystal
Np 0.7500 0.7500 0.7500
Ir 0.0000 0.0000 0.0000
Co 0.5000 0.5000 0.5000
Mn 0.2500 0.2500 0.2500
```